DFT (PBE) results for Ba3WI after structural relaxation.

The calculation puts the relative energy among the computed polymorphs at 0.0 meV/atom. The size of the total moment comes out at 0.000 μB/atom. For the formation energy without anion corrections, the calculation gives 0.4026 eV/atom. The calculation puts the density of states at the Fermi level at 6.29 states/eV/f.u.

The structure belongs to space group Pm-3m (No. 221); the cell edges are 6.065, 6.065 and 6.065 Å and the angles 90.00°, 90.00° and 90.00°. The distinct sites, in fractional coordinates, are Ba at (0.000, 0.000, 0.500), W at (0.000, 0.000, 0.000) and I at (0.500, 0.500, 0.500).